Record 1
Material: TaSb2Te
Method: DFT, PBE
State: optimized geometry

## Properties
Crystal system = tetragonal
E_tot = -20.7 eV per cell
Magnetic moment = 0.000 μB/atom
E_form (uncorrected) = 646 meV/atom

abc: 4.1987 4.1987 5.5977
angles: 90.00 90.00 90.00
Closest atoms and distances in Å follow each position.
Space group P4/mmm (No. 123)
Symmetry-distinct sites (fractional):
Ta  0.0000  0.0000  0.0000 (multiplicity 1)  4 Te 2.97
Sb  0.0000  0.5000  0.5000 (multiplicity 2)  4 Sb 2.97
Te  0.5000  0.5000  0.0000 (multiplicity 1)  4 Ta 2.97

=====

Record 2
Material: TaSb2Te
Method: DFT, PBE
State: optimized geometry

## Properties
Crystal system = monoclinic
E_tot = -44.0 eV per cell
Magnetic moment = 0.000 μB/atom
E_form (uncorrected) = 316 meV/atom

abc: 10.7349 3.5383 5.2891
angles: 90.00 101.03 90.00
Closest atoms and distances in Å follow each position.
Space group C2/m (No. 12)
Symmetry-distinct sites (fractional):
Ta  0.0000  0.0000  0.0000 (multiplicity 2)  4 Sb 2.93, 4 Te 3.18
Sb  0.2121  0.5000  0.2134 (multiplicity 4)  2 Ta 2.93, 1 Te 2.97, 2 Sb 3.10
Te  0.0000  0.5000  0.5000 (multiplicity 2)  2 Sb 2.97, 4 Ta 3.18

=====

Record 3
Material: TaSb3Te
Method: DFT, PBE
State: optimized geometry

## Properties
Crystal system = cubic
E_tot = -18.9 eV per cell
Relative energy among the computed polymorphs = 1286 meV/atom
Magnetic moment = 0.000 μB/atom
E_form (uncorrected) = 1695 meV/atom

abc: 5.5226 5.5226 5.5226
angles: 90.00 90.00 90.00
Closest atoms and distances in Å follow each position.
Space group Pm-3m (No. 221)
Symmetry-distinct sites (fractional):
Ta  0.0000  0.0000  0.0000 (multiplicity 1)  12 Sb 3.91
Sb  0.0000  0.5000  0.5000 (multiplicity 3)  2 Te 2.76
Te  0.5000  0.5000  0.5000 (multiplicity 1)  6 Sb 2.76

=====

Record 4
Material: TaSb2Te
Method: DFT, PBE
State: optimized geometry

## Properties
Crystal system = orthorhombic
E_tot = -45.7 eV per cell
Magnetic moment = 0.000 μB/atom
E_form (uncorrected) = 102 meV/atom

abc: 3.8485 4.8460 11.5019
angles: 90.00 90.00 90.00
Closest atoms and distances in Å follow each position.
Space group Cmmm (No. 65)
Symmetry-distinct sites (fractional):
Ta  0.0000  0.0000  0.0000 (multiplicity 2)  4 Sb 2.91, 4 Ta 3.09
Sb  0.0000  0.5000  0.1900 (multiplicity 4)  2 Ta 2.91, 4 Sb 3.09
Te  0.0000  0.0000  0.5000 (multiplicity 2)  4 Te 3.09

=====

Record 5
Material: TaSb2Te
Method: DFT, PBE
State: optimized geometry

## Properties
Crystal system = orthorhombic
E_tot = -44.1 eV per cell
Magnetic moment = 0.000 μB/atom
E_form (uncorrected) = 296 meV/atom

abc: 3.4819 4.7758 12.5109
angles: 90.00 90.00 90.00
Closest atoms and distances in Å follow each position.
Space group Immm (No. 71)
Symmetry-distinct sites (fractional):
Ta  0.0000  0.0000  0.0000 (multiplicity 2)  4 Sb 2.92, 4 Te 2.96
Sb  0.0000  0.5000  0.3125 (multiplicity 4)  2 Ta 2.92
Te  0.0000  0.0000  0.5000 (multiplicity 2)  4 Ta 2.96

=====

Record 6
Material: TaSb2Te
Method: DFT, PBE
State: optimized geometry

## Properties
Crystal system = orthorhombic
E_tot = -42.1 eV per cell
Magnetic moment = 0.000 μB/atom
E_form (uncorrected) = 546 meV/atom

abc: 6.3086 8.6491 3.4525
angles: 90.00 90.00 90.00
Closest atoms and distances in Å follow each position.
Space group Cmmm (No. 65)
Symmetry-distinct sites (fractional):
Ta  0.0000  0.0000  0.0000 (multiplicity 2)  2 Te 3.15, 8 Sb 3.18, 2 Ta 3.45
Sb  0.2500  0.2500  0.5000 (multiplicity 4)  4 Sb 3.15-3.45, 4 Ta 3.18, 4 Te 3.18
Te  0.0000  0.5000  0.0000 (multiplicity 2)  2 Ta 3.15, 8 Sb 3.18, 2 Te 3.45

=====

Record 7
Material: TaSb3Te
Method: DFT, PBE
State: optimized geometry

## Properties
Crystal system = cubic
E_tot = -25.3 eV per cell
Relative energy among the computed polymorphs = 0 meV/atom
Magnetic moment = 0.000 μB/atom
E_form (uncorrected) = 409 meV/atom

abc: 5.3607 5.3607 5.3607
angles: 90.00 90.00 90.00
Closest atoms and distances in Å follow each position.
Space group Pm-3m (No. 221)
Symmetry-distinct sites (fractional):
Ta  0.0000  0.0000  0.0000 (multiplicity 1)  6 Sb 2.68
Sb  0.0000  0.0000  0.5000 (multiplicity 3)  2 Ta 2.68
Te  0.5000  0.5000  0.5000 (multiplicity 1)  12 Sb 3.79

=====

Record 8
Material: TaSbTe
Method: DFT, PBE
State: optimized geometry

## Properties
Crystal system = monoclinic
E_tot = -77.5 eV per cell
Relative energy among the computed polymorphs = 10 meV/atom
Magnetic moment = 0.000 μB/atom
E_form (uncorrected) = -85 meV/atom

abc: 7.8219 7.3386 5.8857
angles: 90.00 105.14 90.00
Closest atoms and distances in Å follow each position.
Space group P2_1/c (No. 14)
Symmetry-distinct sites (fractional):
Ta  0.0035  0.1262  0.2388 (multiplicity 4)  3 Te 2.75-2.83, 3 Sb 2.83-2.88
Sb  0.2616  0.6279  0.0009 (multiplicity 4)  3 Ta 2.83-2.88
Te  0.2587  0.1238  0.9933 (multiplicity 4)  3 Ta 2.75-2.83